Here is a geometry-optimized CuOs4Cl structure from the Alexandria database. Energies are from PBE.

Output
The space group is F-43m. The uncorrected formation energy comes out at 1468.0 meV/atom. The total magnetic moment is 0.136 μB per atom.

```
CuOs4Cl
1.0
0.000 3.681 3.681
3.681 0.000 3.681
3.681 3.681 0.000
Cu Os Cl
1 4 1
direct
0.000 0.000 0.000 Cu
0.876 0.375 0.375 Os
0.375 0.375 0.876 Os
0.375 0.876 0.375 Os
0.375 0.375 0.375 Os
0.750 0.750 0.750 Cl
```

---

Here is a geometry-optimized CuOsCl structure from the Alexandria database. Energies are from PBE.

Output
The space group is P3m1. The uncorrected formation energy comes out at 695.1 meV/atom. The total magnetic moment is 0.000 μB per atom.

```
CuOsCl
1.0
2.887 0.000 0.000
-1.444 2.501 0.000
0.000 0.000 6.084
Os Cu Cl
1 1 1
direct
0.333 0.667 0.664 Os
0.667 0.333 0.341 Cu
0.000 0.000 0.996 Cl
```

---

Here is a geometry-optimized CuOsCl3 structure from the Alexandria database. Energies are from PBE.

Output
The space group is Pm-3m. The uncorrected formation energy comes out at 563.3 meV/atom. The total magnetic moment is 0.261 μB per atom.

```
CuOsCl3
1.0
4.796 0.000 0.000
0.000 4.796 0.000
0.000 0.000 4.796
Os Cu Cl
1 1 3
direct
0.000 0.000 0.000 Os
0.500 0.500 0.500 Cu
0.000 0.500 0.000 Cl
0.000 0.000 0.500 Cl
0.500 0.000 0.000 Cl
```

---

Here is a geometry-optimized Cu2OsCl structure from the Alexandria database. Energies are from PBE.

Output
The space group is P4/mmm. The uncorrected formation energy comes out at 830.8 meV/atom. The total magnetic moment is 0.281 μB per atom.

```
Cu2OsCl
1.0
4.824 0.000 0.000
0.000 4.824 0.000
0.000 0.000 2.581
Os Cu Cl
1 2 1
direct
0.500 0.000 0.500 Os
0.000 0.000 0.000 Cu
0.500 0.500 0.000 Cu
0.000 0.500 0.500 Cl
```

---

Here is a geometry-optimized Cu2OsCl structure from the Alexandria database. Energies are from PBE.

Output
The space group is I-4m2. The uncorrected formation energy comes out at 1036.4 meV/atom. The total magnetic moment is 0.508 μB per atom.

```
Cu2OsCl
1.0
4.809 -0.055 0.000
1.849 4.440 0.000
-3.329 -2.193 2.691
Os Cu Cl
1 2 1
direct
0.500 0.500 0.000 Os
0.000 0.000 0.000 Cu
0.250 0.750 0.500 Cu
0.750 0.250 0.500 Cl
```

---

Here is a geometry-optimized Cu2OsCl structure from the Alexandria database. Energies are from PBE.

Output
The space group is Cmmm. The uncorrected formation energy comes out at 689.5 meV/atom. The total magnetic moment is 0.000 μB per atom.

```
Cu2OsCl
1.0
4.832 -0.028 0.000
-2.098 4.353 0.000
0.000 0.000 2.686
Os Cu Cl
1 2 1
direct
0.500 0.000 0.500 Os
0.000 0.000 0.000 Cu
0.500 0.500 0.000 Cu
0.000 0.500 0.500 Cl
```